No. 1
PaHgPt | PBE-GGA | optimized geometry

abc: 4.730 4.730 4.730
angles: 60.00 60.00 60.00
Fractional positions:
Pa 0.250 0.250 0.250
Pt 0.750 0.750 0.750
Hg 0.000 0.000 0.000

Summary:
Final energy   -15.512 eV for the cell shown
ΔE to the lowest computed polymorph   113 meV/atom
Magnetic moment   1.15 μB/f.u.
Formation enthalpy at 0 K   0.1122 eV per atom

***

No. 2
Pa2HgPt2 | PBE-GGA | optimized geometry

abc: 7.874 7.874 3.625
angles: 90.00 90.00 90.00
Fractional positions:
Pt 0.371 0.871 0.000
Pt 0.871 0.629 0.000
Pa 0.827 0.327 0.500
Pa 0.173 0.673 0.500
Pt 0.629 0.129 0.000
Pa 0.327 0.173 0.500
Hg 0.500 0.500 0.000
Hg 0.000 0.000 0.000
Pa 0.673 0.827 0.500
Pt 0.129 0.371 0.000

Summary:
Final energy   -70.600 eV for the cell shown
Magnetic moment   0.00 μB/f.u.
Formation enthalpy at 0 K   -0.7799 eV per atom

***

Which of these has the highest formation enthalpy at 0 K?
PaHgPt

***

Look up the formation enthalpy at 0 K of the second one.
-0.7799 eV per atom